(1)
The following is a PBE-GGA calculation of a relaxed Li5Zn5Pd2 crystal, from the Alexandria database.

Structure (POSCAR):
```
Li5Zn5Pd2
1.0
4.670 -2.156 0.000
4.670 2.156 0.000
-3.109 0.000 8.550
Li Zn Pd
5 5 2
direct
0.000 0.000 0.000 Li
0.084 0.084 0.747 Li
0.175 0.175 0.493 Li
0.825 0.825 0.507 Li
0.916 0.916 0.253 Li
0.252 0.252 0.246 Zn
0.336 0.336 0.998 Zn
0.500 0.500 0.500 Zn
0.664 0.664 0.002 Zn
0.748 0.748 0.754 Zn
0.417 0.417 0.751 Pd
0.583 0.583 0.249 Pd
```

## Properties
* SG: C2/m, No. 12
* E_form: -395.6 kJ/mol of formula units
* raw total energy: -30.4 eV/cell
* total magnetic moment: 0.00 μB per formula unit
* DOS at the Fermi energy: 4.21 states/eV/cell
* energy above the most stable polymorph in this dataset: 0.00 eV per formula unit



(2)
The following is a PBE-GGA calculation of a relaxed Nd2MnH crystal, from the Alexandria database.

Structure (POSCAR):
```
Nd2MnH
1.0
3.387 0.000 0.000
-1.693 2.933 0.000
0.000 0.000 27.050
Nd Mn H
6 3 3
direct
0.000 0.000 0.110 Nd
0.000 0.000 0.890 Nd
0.333 0.667 0.557 Nd
0.333 0.667 0.776 Nd
0.667 0.333 0.224 Nd
0.667 0.333 0.443 Nd
0.000 0.000 0.000 Mn
0.333 0.667 0.667 Mn
0.667 0.333 0.333 Mn
0.000 0.000 0.500 H
0.333 0.667 0.167 H
0.667 0.333 0.833 H
```

## Properties
* SG: R-3m, No. 166
* raw total energy: -61.7 eV/cell
* total magnetic moment: 3.71 μB per formula unit
* DOS at the Fermi energy: 11.86 states/eV/cell



(3)
The following is a PBE-GGA calculation of a relaxed Ce2ZrV crystal, from the Alexandria database.

Structure (POSCAR):
```
Ce2ZrV
1.0
3.020 0.000 0.000
-1.510 2.616 0.000
0.000 0.000 33.521
Ce Zr V
6 3 3
direct
0.000 0.000 0.077 Ce
0.000 0.000 0.923 Ce
0.333 0.667 0.590 Ce
0.333 0.667 0.743 Ce
0.667 0.333 0.257 Ce
0.667 0.333 0.410 Ce
0.000 0.000 0.500 Zr
0.333 0.667 0.167 Zr
0.667 0.333 0.833 Zr
0.000 0.000 0.000 V
0.333 0.667 0.667 V
0.667 0.333 0.333 V
```

## Properties
* SG: R-3m, No. 166
* E_form: 164.1 kJ/mol of formula units
* raw total energy: -83.5 eV/cell
* total magnetic moment: 1.38 μB per formula unit
* DOS at the Fermi energy: 26.88 states/eV/cell



(4)
The following is a PBE-GGA calculation of a relaxed ZrAuI3 crystal, from the Alexandria database.

Structure (POSCAR):
```
ZrAuI3
1.0
5.701 0.000 0.000
0.000 5.701 0.000
0.000 0.000 5.701
Zr Au I
1 1 3
direct
0.000 0.000 0.000 Zr
0.500 0.500 0.500 Au
0.000 0.000 0.500 I
0.000 0.500 0.000 I
0.500 0.000 0.000 I
```

## Properties
* SG: Pm-3m, No. 221
* raw total energy: -16.7 eV/cell
* energy relative to the elements, uncorrected: -0.05 eV/atom
* total magnetic moment: 0.00 μB per formula unit
* DOS at the Fermi energy: 7.81 states/eV/cell
* energy above the most stable polymorph in this dataset: 0.00 eV per formula unit



(5)
The following is a PBE-GGA calculation of a relaxed ZrCuNi2 crystal, from the Alexandria database.

Structure (POSCAR):
```
ZrCuNi2
1.0
3.697 0.000 0.000
0.000 3.697 0.000
0.000 0.000 8.021
Zr Cu Ni
2 2 4
direct
0.000 0.000 0.000 Zr
0.500 0.500 0.500 Zr
0.000 0.500 0.750 Cu
0.500 0.000 0.250 Cu
0.000 0.000 0.500 Ni
0.000 0.500 0.250 Ni
0.500 0.000 0.750 Ni
0.500 0.500 0.000 Ni
```

## Properties
* SG: I-4m2, No. 119
* E_form: -119.1 kJ/mol of formula units
* raw total energy: -50.9 eV/cell
* total magnetic moment: 0.00 μB per formula unit
* DOS at the Fermi energy: 4.01 states/eV/cell



(6)
The following is a PBE-GGA calculation of a relaxed AcAlGaAg crystal, from the Alexandria database.

Structure (POSCAR):
```
AcAlGaAg
1.0
7.266 0.000 0.000
0.000 7.266 0.000
0.000 0.000 7.266
Ac Al Ga Ag
4 4 4 4
direct
0.000 0.000 0.000 Ac
0.000 0.500 0.500 Ac
0.500 0.000 0.500 Ac
0.500 0.500 0.000 Ac
0.000 0.000 0.500 Al
0.000 0.500 0.000 Al
0.500 0.000 0.000 Al
0.500 0.500 0.500 Al
0.250 0.250 0.750 Ga
0.250 0.750 0.250 Ga
0.750 0.250 0.250 Ga
0.750 0.750 0.750 Ga
0.250 0.250 0.250 Ag
0.250 0.750 0.750 Ag
0.750 0.250 0.750 Ag
0.750 0.750 0.250 Ag
```

## Properties
* SG: F-43m, No. 216
* E_form: -89.4 kJ/mol of formula units
* raw total energy: -58.6 eV/cell
* total magnetic moment: 0.00 μB per formula unit
* DOS at the Fermi energy: 5.74 states/eV/cell



(7)
The following is a PBE-GGA calculation of a relaxed CdGe crystal, from the Alexandria database.

Structure (POSCAR):
```
CdGe
1.0
6.370 0.000 0.000
0.000 6.536 0.000
0.000 0.000 8.768
Cd Ge
8 8
direct
0.073 0.127 0.056 Cd
0.149 0.261 0.724 Cd
0.351 0.739 0.224 Cd
0.427 0.873 0.556 Cd
0.573 0.373 0.944 Cd
0.649 0.239 0.276 Cd
0.851 0.761 0.776 Cd
0.927 0.627 0.444 Cd
0.156 0.108 0.363 Ge
0.164 0.558 0.954 Ge
0.336 0.442 0.454 Ge
0.344 0.892 0.863 Ge
0.656 0.392 0.637 Ge
0.664 0.942 0.046 Ge
0.836 0.058 0.546 Ge
0.844 0.608 0.137 Ge
```

## Properties
* SG: P2_12_12_1, No. 19
* E_form: 33.4 kJ/mol of formula units
* raw total energy: -41.5 eV/cell
* total magnetic moment: 0.00 μB per formula unit
* DOS at the Fermi energy: 4.13 states/eV/cell



(8)
The following is a PBE-GGA calculation of a relaxed Ca2GaHg8 crystal, from the Alexandria database.

Structure (POSCAR):
```
Ca2GaHg8
1.0
4.727 0.000 0.000
0.000 4.727 0.000
0.000 0.000 12.737
Ca Ga Hg
2 1 8
direct
0.000 0.000 0.186 Ca
0.000 0.000 0.814 Ca
0.000 0.000 0.500 Ga
0.000 0.500 0.000 Hg
0.000 0.500 0.366 Hg
0.000 0.500 0.634 Hg
0.500 0.000 0.000 Hg
0.500 0.000 0.366 Hg
0.500 0.000 0.634 Hg
0.500 0.500 0.185 Hg
0.500 0.500 0.815 Hg
```

## Properties
* SG: P4/mmm, No. 123
* E_form: -284.6 kJ/mol of formula units
* raw total energy: -12.4 eV/cell
* total magnetic moment: 0.00 μB per formula unit
* DOS at the Fermi energy: 5.09 states/eV/cell
* energy above the most stable polymorph in this dataset: 0.00 eV per formula unit



(9)
The following is a PBE-GGA calculation of a relaxed Sm2GaSn3Rh4 crystal, from the Alexandria database.

Structure (POSCAR):
```
Sm2GaSn3Rh4
1.0
4.422 0.000 0.000
0.000 4.422 0.000
0.000 0.000 10.657
Sm Ga Sn Rh
2 1 3 4
direct
0.000 0.500 0.247 Sm
0.500 0.000 0.753 Sm
0.500 0.500 0.000 Ga
0.000 0.000 0.000 Sn
0.000 0.500 0.633 Sn
0.500 0.000 0.367 Sn
0.000 0.000 0.500 Rh
0.000 0.500 0.874 Rh
0.500 0.000 0.126 Rh
0.500 0.500 0.500 Rh
```

## Properties
* SG: P-4m2, No. 115
* E_form: -685.2 kJ/mol of formula units
* raw total energy: -61.0 eV/cell
* total magnetic moment: 0.00 μB per formula unit
* DOS at the Fermi energy: 7.33 states/eV/cell



(10)
The following is a PBE-GGA calculation of a relaxed TaCu2Mo crystal, from the Alexandria database.

Structure (POSCAR):
```
TaCu2Mo
1.0
3.496 0.000 0.000
0.000 4.130 0.000
0.000 0.000 8.122
Ta Cu Mo
2 4 2
direct
0.000 0.000 0.000 Ta
0.500 0.500 0.000 Ta
0.000 0.000 0.470 Cu
0.000 0.500 0.252 Cu
0.500 0.000 0.252 Cu
0.500 0.500 0.470 Cu
0.000 0.500 0.714 Mo
0.500 0.000 0.714 Mo
```

## Properties
* SG: Cmm2, No. 35
* E_form: 41.6 kJ/mol of formula units
* raw total energy: -60.9 eV/cell
* total magnetic moment: 0.00 μB per formula unit
* DOS at the Fermi energy: 4.35 states/eV/cell
* energy above the most stable polymorph in this dataset: 0.00 eV per formula unit



(11)
The following is a PBE-GGA calculation of a relaxed Na2CaAs2 crystal, from the Alexandria database.

Structure (POSCAR):
```
Na2CaAs2
1.0
4.383 0.000 0.000
0.000 4.383 0.000
0.000 0.000 12.835
Na Ca As
4 2 4
direct
0.000 0.500 0.250 Na
0.000 0.500 0.750 Na
0.500 0.000 0.250 Na
0.500 0.000 0.750 Na
0.000 0.000 0.000 Ca
0.500 0.500 0.500 Ca
0.000 0.000 0.403 As
0.000 0.000 0.597 As
0.500 0.500 0.097 As
0.500 0.500 0.903 As
```

## Properties
* SG: I4/mmm, No. 139
* E_form: -256.3 kJ/mol of formula units
* raw total energy: -33.2 eV/cell
* total magnetic moment: 0.00 μB per formula unit
* DOS at the Fermi energy: 1.96 states/eV/cell
* energy above the most stable polymorph in this dataset: 0.00 eV per formula unit



(12)
The following is a PBE-GGA calculation of a relaxed BaSbAu crystal, from the Alexandria database.

Structure (POSCAR):
```
BaSbAu
1.0
4.788 0.000 0.000
0.000 4.762 0.000
-0.011 0.000 8.543
Ba Sb Au
2 2 2
direct
0.000 0.000 0.000 Ba
0.500 0.000 0.500 Ba
0.000 0.500 0.325 Sb
0.000 0.500 0.675 Sb
0.500 0.500 0.162 Au
0.500 0.500 0.838 Au
```

## Properties
* SG: P2/m, No. 10
* raw total energy: -23.5 eV/cell
* energy relative to the elements, uncorrected: -0.81 eV/atom
* total magnetic moment: 0.00 μB per formula unit
* DOS at the Fermi energy: 0.66 states/eV/cell



Please write out number 5 again, unchanged.
The following is a PBE-GGA calculation of a relaxed ZrCuNi2 crystal, from the Alexandria database.

Structure (POSCAR):
```
ZrCuNi2
1.0
3.697 0.000 0.000
0.000 3.697 0.000
0.000 0.000 8.021
Zr Cu Ni
2 2 4
direct
0.000 0.000 0.000 Zr
0.500 0.500 0.500 Zr
0.000 0.500 0.750 Cu
0.500 0.000 0.250 Cu
0.000 0.000 0.500 Ni
0.000 0.500 0.250 Ni
0.500 0.000 0.750 Ni
0.500 0.500 0.000 Ni
```

## Properties
* SG: I-4m2, No. 119
* E_form: -119.1 kJ/mol of formula units
* raw total energy: -50.9 eV/cell
* total magnetic moment: 0.00 μB per formula unit
* DOS at the Fermi energy: 4.01 states/eV/cell



Please write out number 5 again, unchanged.
The following is a PBE-GGA calculation of a relaxed ZrCuNi2 crystal, from the Alexandria database.

Structure (POSCAR):
```
ZrCuNi2
1.0
3.697 0.000 0.000
0.000 3.697 0.000
0.000 0.000 8.021
Zr Cu Ni
2 2 4
direct
0.000 0.000 0.000 Zr
0.500 0.500 0.500 Zr
0.000 0.500 0.750 Cu
0.500 0.000 0.250 Cu
0.000 0.000 0.500 Ni
0.000 0.500 0.250 Ni
0.500 0.000 0.750 Ni
0.500 0.500 0.000 Ni
```

## Properties
* SG: I-4m2, No. 119
* E_form: -119.1 kJ/mol of formula units
* raw total energy: -50.9 eV/cell
* total magnetic moment: 0.00 μB per formula unit
* DOS at the Fermi energy: 4.01 states/eV/cell